No. 1
Computed, not measured: an optimized crystal structure of FeCuMoHSe at the PBE level of DFT.

The calculation puts the volume at 11.83 A^3/atom. The magnetization is 1.3 μB/f.u. The calculation puts the energy above the lowest structure with this stoichiometry at 0.0837 eV/atom.

Cell lengths 3.060, 4.129, 4.921 Å; angles 90.00, 107.85, 90.00 degrees
Space group Pm (No. 6)
Symmetry-distinct sites (fractional):
Fe: 0.000 0.000 0.000 x1
Cu: 0.261 0.000 0.525 x1
Mo: 0.602 0.500 0.210 x1
H: 0.589 0.000 0.180 x1
Se: 0.885 0.500 0.766 x1



No. 2
Computed, not measured: an optimized crystal structure of FeCuMoHSe at the PBE level of DFT.

The calculation puts the volume at 12.59 A^3/atom. The magnetization is 0.0 μB/f.u. The calculation puts the energy above the lowest structure with this stoichiometry at 0.1014 eV/atom.

Cell lengths 11.992, 3.807, 2.801 Å; angles 90.00, 99.92, 90.00 degrees
Space group Cm (No. 8)
Symmetry-distinct sites (fractional):
Fe: 0.000 0.000 0.000 x2
Cu: 0.211 0.000 0.216 x2
Mo: 0.097 0.500 0.626 x2
H: 0.484 0.000 0.027 x2
Se: 0.334 0.500 0.384 x2



No. 3
Computed, not measured: an optimized crystal structure of FeCuMoHSe at the PBE level of DFT.

The calculation puts the volume at 13.16 A^3/atom. The magnetization is 2.2 μB/f.u. The calculation puts the energy above the lowest structure with this stoichiometry at 0.0224 eV/atom.

Cell lengths 3.029, 3.231, 13.449 Å; angles 90.00, 90.00, 90.00 degrees
Space group Imm2 (No. 44)
Symmetry-distinct sites (fractional):
Fe: 0.000 0.000 0.000 x2
Cu: 0.000 0.000 0.402 x2
Mo: 0.000 0.000 0.613 x2
H: 0.000 0.500 0.420 x2
Se: 0.000 0.000 0.218 x2



No. 4
Computed, not measured: an optimized crystal structure of FeCuMoHSe at the PBE level of DFT.

The calculation puts the volume at 12.27 A^3/atom. The magnetization is 1.8 μB/f.u. The calculation puts the energy above the lowest structure with this stoichiometry at 0.1273 eV/atom.

Cell lengths 9.323, 3.045, 4.344 Å; angles 90.00, 95.61, 90.00 degrees
Space group Cm (No. 8)
Symmetry-distinct sites (fractional):
Fe: 0.000 0.000 0.000 x2
Cu: 0.268 0.000 0.954 x2
Mo: 0.103 0.500 0.519 x2
H: 0.150 0.000 0.262 x2
Se: 0.385 0.500 0.485 x2



No. 5
Computed, not measured: an optimized crystal structure of FeCuMoHSe at the PBE level of DFT.

The calculation puts the volume at 12.72 A^3/atom. The magnetization is 0.0 μB/f.u. The calculation puts the energy above the lowest structure with this stoichiometry at 0.1805 eV/atom.

Cell lengths 5.315, 3.822, 6.314 Å; angles 90.00, 97.30, 90.00 degrees
Space group Cm (No. 8)
Symmetry-distinct sites (fractional):
Fe: 0.000 0.000 0.000 x2
Cu: 0.048 0.000 0.472 x2
Mo: 0.438 0.000 0.775 x2
H: 0.303 0.500 0.752 x2
Se: 0.388 0.000 0.205 x2



No. 6
Computed, not measured: an optimized crystal structure of FeCuMoHSe at the PBE level of DFT.

The calculation puts the volume at 13.15 A^3/atom. The magnetization is 0.8 μB/f.u. The calculation puts the energy above the lowest structure with this stoichiometry at 0.0758 eV/atom.

Cell lengths 7.781, 3.082, 5.890 Å; angles 90.00, 111.38, 90.00 degrees
Space group Cm (No. 8)
Symmetry-distinct sites (fractional):
Fe: 0.000 0.000 0.000 x2
Cu: 0.351 0.000 0.226 x2
Mo: 0.189 0.500 0.801 x2
H: 0.459 0.000 0.860 x2
Se: 0.134 0.000 0.442 x2



No. 7
Computed, not measured: an optimized crystal structure of FeCuMoHSe at the PBE level of DFT.

The calculation puts the volume at 12.33 A^3/atom. The magnetization is 1.9 μB/f.u. The calculation puts the energy above the lowest structure with this stoichiometry at 0.1137 eV/atom.

Cell lengths 5.150, 2.964, 8.266 Å; angles 90.00, 102.17, 90.00 degrees
Space group Cm (No. 8)
Symmetry-distinct sites (fractional):
Fe: 0.000 0.000 0.000 x2
Cu: 0.326 0.500 0.482 x2
Mo: 0.080 0.500 0.739 x2
H: 0.286 0.000 0.854 x2
Se: 0.407 0.000 0.217 x2



No. 8
Computed, not measured: an optimized crystal structure of FeCuMoHSe at the PBE level of DFT.

The calculation puts the volume at 13.40 A^3/atom. The magnetization is 0.0 μB/f.u. The calculation puts the energy above the lowest structure with this stoichiometry at 0.1416 eV/atom.

Cell lengths 6.955, 3.277, 6.084 Å; angles 90.00, 104.86, 90.00 degrees
Space group Cm (No. 8)
Symmetry-distinct sites (fractional):
Fe: 0.000 0.000 0.000 x2
Cu: 0.253 0.500 0.261 x2
Mo: 0.159 0.500 0.811 x2
H: 0.258 0.000 0.991 x2
Se: 0.090 0.000 0.465 x2